[1]
This record from Alexandria describes crystalline Sc2BeS at its relaxed geometry. The functional is PBE-GGA.

abc: 8.6834 8.6834 8.6834
angles: 22.89 22.89 22.89
With the nearest neighbours (Å) after each atom.
Positions (direct):
1 Sc 0.8934 0.8934 0.8934  3 S 2.51, 1 Be 2.70
2 Sc 0.1066 0.1066 0.1066  3 S 2.51, 1 Be 2.70
3 Be 0.0000 0.0000 0.0000  2 Sc 2.70
4 S 0.5000 0.5000 0.5000  6 Sc 2.51

Properties
DOS(E_F)	1.9	states/eV/cell
density	2.50	Mg/m³
space group	No. 166
uncorrected energy	-5.33	eV/atom
energy relative to the elements, uncorrected	-199.7	meV per atom
size of the total moment	0.0	μB/f.u.

[2]
This record from Alexandria describes crystalline Ti2AlBi at its relaxed geometry. The functional is PBE-GGA.

abc: 4.0941 4.0941 10.5033
angles: 78.76 78.76 90.00
With the nearest neighbours (Å) after each atom.
Positions (direct):
1 Al 0.5000 0.5000 0.0000  4 Bi 2.89, 4 Ti 2.90
2 Al 0.2500 0.7500 0.5000  4 Bi 2.89, 4 Ti 2.90
3 Bi 0.0000 0.0000 0.0000  4 Al 2.89, 4 Ti 2.92
4 Bi 0.7500 0.2500 0.5000  4 Al 2.89, 4 Ti 2.92
5 Ti 0.6166 0.1250 0.2500  4 Ti 2.85-2.94, 2 Al 2.90, 2 Bi 2.92
6 Ti 0.1334 0.6250 0.2500  4 Ti 2.85-2.94, 2 Al 2.90, 2 Bi 2.92
7 Ti 0.3750 0.3834 0.7500  4 Ti 2.85-2.94, 2 Al 2.90, 2 Bi 2.92
8 Ti 0.8750 0.8666 0.7500  4 Ti 2.85-2.94, 2 Al 2.90, 2 Bi 2.92

Properties
DOS(E_F)	6.4	states/eV/cell
formation enthalpy at 0 K	322	meV/atom
density	6.51	Mg/m³
space group	No. 122
uncorrected energy	-5.53	eV/atom
size of the total moment	0.0	μB/f.u.

[3]
This record from Alexandria describes crystalline SrLaSbTe2 at its relaxed geometry. The functional is PBE-GGA.

abc: 5.8169 6.7612 5.8169
angles: 90.00 90.00 90.00
With the nearest neighbours (Å) after each atom.
Positions (direct):
1 Sb 0.5000 0.5000 0.5000  4 La 4.11, 8 Te 4.46
2 Te 0.0000 0.0000 0.5000  2 Sr 2.91
3 Te 0.5000 0.0000 0.0000  2 Sr 2.91
4 Sr 0.0000 0.0000 0.0000  4 Te 2.91
5 La 0.0000 0.5000 0.0000  2 Sr 3.38

Properties
DOS(E_F)	6.2	states/eV/cell
density	4.38	Mg/m³
space group	No. 123
uncorrected energy	-3.09	eV/atom
energy relative to the elements, uncorrected	316.5	meV per atom
size of the total moment	0.6	μB/f.u.

[4]
This record from Alexandria describes crystalline Ac2LaDyTe6 at its relaxed geometry. The functional is PBE-GGA.

abc: 8.1953 8.1958 8.5983
angles: 61.54 61.55 60.01
With the nearest neighbours (Å) after each atom.
Positions (direct):
1 Ac 0.5216 0.5216 0.4351  6 Te 3.33-3.37
2 Ac 0.0198 0.0197 0.9408  6 Te 3.30-3.39
3 La 0.8189 0.8190 0.5431  6 Te 3.19-3.25
4 Dy 0.3212 0.3212 0.0364  6 Te 3.08-3.11
5 Te 0.5909 0.2012 0.2569  1 Dy 3.08, 1 La 3.25, 2 Ac 3.33-3.39
6 Te 0.2012 0.9510 0.2569  1 Dy 3.08, 1 La 3.25, 2 Ac 3.33-3.39
7 Te 0.9511 0.5908 0.2570  1 Dy 3.08, 1 La 3.25, 2 Ac 3.33-3.39
8 Te 0.4361 0.6943 0.7630  1 Dy 3.11, 1 La 3.19, 2 Ac 3.30-3.37
9 Te 0.6943 0.1067 0.7630  1 Dy 3.11, 1 La 3.19, 2 Ac 3.30-3.37
10 Te 0.1065 0.4362 0.7630  1 Dy 3.11, 1 La 3.19, 2 Ac 3.30-3.37

Properties
DOS(E_F)	0.0	states/eV/cell
density	6.05	Mg/m³
space group	No. 146
uncorrected energy	-5.14	eV/atom
energy relative to the elements, uncorrected	-1480.1	meV per atom
size of the total moment	0.0	μB/f.u.

[5]
This record from Alexandria describes crystalline Li2SnAu at its relaxed geometry. The functional is PBE-GGA.

abc: 3.1975 3.1975 8.7976
angles: 79.53 79.53 60.00
With the nearest neighbours (Å) after each atom.
Positions (direct):
1 Li 0.0769 0.0769 0.7692  3 Au 2.72, 3 Sn 2.97
2 Li 0.2566 0.2566 0.2303  3 Au 2.70, 3 Sn 2.96
3 Sn 0.5004 0.5004 0.4987  6 Li 2.96-2.97, 6 Sn 3.20
4 Au 0.6661 0.6661 0.0018  6 Li 2.70-2.72

Properties
DOS(E_F)	1.6	states/eV/cell
formation enthalpy at 0 K	-284	meV/atom
density	7.19	Mg/m³
space group	No. 160
uncorrected energy	-3.06	eV/atom
size of the total moment	0.0	μB/f.u.

[6]
This record from Alexandria describes crystalline AlNiCl2 at its relaxed geometry. The functional is PBE-GGA.

abc: 8.2766 8.2766 6.3427
angles: 49.27 49.27 90.00
With the nearest neighbours (Å) after each atom.
Positions (direct):
1 Ni 0.0000 0.0000 0.0000  4 Cl 2.32, 2 Al 2.45
2 Ni 0.7500 0.2500 0.5000  4 Cl 2.32, 2 Al 2.45
3 Al 0.5000 0.5000 0.0000  2 Ni 2.45
4 Al 0.2500 0.7500 0.5000  2 Ni 2.45
5 Cl 0.7734 0.1250 0.2500  2 Ni 2.32
6 Cl 0.9766 0.6250 0.2500  2 Ni 2.32
7 Cl 0.3750 0.2266 0.7500  2 Ni 2.32
8 Cl 0.8750 0.0234 0.7500  2 Ni 2.32

Properties
DOS(E_F)	1.9	states/eV/cell
density	3.10	Mg/m³
space group	No. 122
uncorrected energy	-3.54	eV/atom
energy relative to the elements, uncorrected	-234.8	meV per atom
size of the total moment	0.0	μB/f.u.

[7]
This record from Alexandria describes crystalline Ca2LaWSe at its relaxed geometry. The functional is PBE-GGA.

abc: 5.7619 4.8162 5.7619
angles: 90.00 90.00 90.00
With the nearest neighbours (Å) after each atom.
Positions (direct):
1 Ca 0.0000 0.0000 0.5000  2 W 2.88
2 Ca 0.5000 0.0000 0.0000  2 W 2.88
3 Se 0.0000 0.5000 0.0000  2 W 2.41
4 W 0.0000 0.0000 0.0000  2 Se 2.41
5 La 0.5000 0.5000 0.5000  8 Ca 3.75, 4 Se 4.07

Properties
DOS(E_F)	5.9	states/eV/cell
density	5.00	Mg/m³
space group	No. 123
uncorrected energy	-4.58	eV/atom
energy relative to the elements, uncorrected	493.1	meV per atom
size of the total moment	1.5	μB/f.u.

[8]
This record from Alexandria describes crystalline Li2AcTb at its relaxed geometry. The functional is PBE-GGA.

abc: 3.8844 3.8844 7.7796
angles: 90.00 90.00 90.00
With the nearest neighbours (Å) after each atom.
Positions (direct):
1 Ac 0.5000 0.5000 0.5000  8 Li 3.46
2 Tb 0.5000 0.5000 0.0000  8 Li 3.28
3 Li 0.0000 0.0000 0.7700  4 Tb 3.28, 4 Ac 3.46, 1 Li 3.58
4 Li 0.0000 0.0000 0.2300  4 Tb 3.28, 4 Ac 3.46, 1 Li 3.58

Properties
DOS(E_F)	5.0	states/eV/cell
formation enthalpy at 0 K	143	meV/atom
density	5.66	Mg/m³
space group	No. 123
uncorrected energy	-3.00	eV/atom
size of the total moment	0.0	μB/f.u.

[9]
This record from Alexandria describes crystalline CuRuOF2 at its relaxed geometry. The functional is PBE-GGA.

abc: 4.2596 4.2596 3.7069
angles: 90.00 90.00 90.00
With the nearest neighbours (Å) after each atom.
Positions (direct):
1 Ru 0.0000 0.0000 0.0000  2 O 1.85
2 O 0.0000 0.0000 0.5000  2 Ru 1.85
3 Cu 0.5000 0.5000 0.5000  8 F 2.82, 4 O 3.01
4 F 0.0000 0.5000 0.0000  2 Ru 2.13
5 F 0.5000 0.0000 0.0000  2 Ru 2.13

Properties
DOS(E_F)	2.9	states/eV/cell
density	5.40	Mg/m³
space group	No. 123
uncorrected energy	-5.07	eV/atom
energy relative to the elements, uncorrected	-651.8	meV per atom
size of the total moment	0.2	μB/f.u.

[10]
This record from Alexandria describes crystalline Na3SnMo at its relaxed geometry. The functional is PBE-GGA.

abc: 5.8336 5.8336 5.8336
angles: 90.00 90.00 90.00
With the nearest neighbours (Å) after each atom.
Positions (direct):
1 Na 0.0000 0.5000 0.0000  2 Sn 2.92
2 Na 0.0000 0.0000 0.5000  2 Sn 2.92
3 Na 0.5000 0.0000 0.0000  2 Sn 2.92
4 Mo 0.5000 0.5000 0.5000  12 Na 4.12
5 Sn 0.0000 0.0000 0.0000  6 Na 2.92

Properties
DOS(E_F)	2.7	states/eV/cell
formation enthalpy at 0 K	1113	meV/atom
density	2.37	Mg/m³
space group	No. 221
uncorrected energy	-2.64	eV/atom
size of the total moment	5.0	μB/f.u.

[11]
This record from Alexandria describes crystalline BeSn2Sb2 at its relaxed geometry. The functional is PBE-GGA.

abc: 4.0449 4.0449 8.8156
angles: 76.74 76.74 90.00
With the nearest neighbours (Å) after each atom.
Positions (direct):
1 Sb 0.4147 0.4147 0.1706  1 Sb 2.84
2 Sb 0.5853 0.5853 0.8294  1 Sb 2.84
3 Sn 0.7500 0.2500 0.5000  4 Sn 2.86
4 Sn 0.2500 0.7500 0.5000  4 Sn 2.86
5 Be 0.0000 0.0000 0.0000  8 Sb 3.19

Properties
DOS(E_F)	2.7	states/eV/cell
density	5.96	Mg/m³
space group	No. 139
uncorrected energy	-3.39	eV/atom
energy relative to the elements, uncorrected	600.9	meV per atom
size of the total moment	0.0	μB/f.u.

[12]
This record from Alexandria describes crystalline AcAu at its relaxed geometry. The functional is PBE-GGA.

abc: 4.5676 4.5676 4.5676
angles: 60.00 60.00 60.00
With the nearest neighbours (Å) after each atom.
Positions (direct):
1 Ac 0.0000 0.0000 0.0000  6 Au 3.23
2 Au 0.5000 0.5000 0.5000  6 Ac 3.23

Properties
DOS(E_F)	2.6	states/eV/cell
formation enthalpy at 0 K	-741	meV/atom
density	10.45	Mg/m³
space group	No. 225
uncorrected energy	-4.43	eV/atom
size of the total moment	0.0	μB/f.u.